Compound: PtI3Br
Source: the Alexandria database
Functional: GGA-PBE
Structure: optimized geometry Values from VASP.

Computed properties:
Energy relative to the elements, uncorrected: 0.242 eV/atom
Excess energy over the best structure of this formula in the dataset: 0.387 eV per atom
Crystal system: cubic
Total DFT energy (no corrections): -2.230 eV/atom
V: 33.058 Å³/atom

The structure in Quantum ESPRESSO input format:
```
&SYSTEM
  ibrav = 0, nat = 5, ntyp = 3
/
ATOMIC_SPECIES
Pt 195.08 Pt.upf
I 126.90 I.upf
Br 79.90 Br.upf
CELL_PARAMETERS angstrom
5.488 0.000 0.000
0.000 5.488 0.000
0.000 0.000 5.488
ATOMIC_POSITIONS crystal
Pt 0.000 0.000 0.000
I 0.000 0.000 0.500
I 0.000 0.500 0.000
I 0.500 0.000 0.000
Br 0.500 0.500 0.500
```